Entry 1:
MgBeSb2: optimized geometry, PBE-GGA.

```
MgBeSb2
1.0
-6.6600 -2.6432 -6.5115
-4.0222 -4.3008 -7.6855
-5.8731 -5.6242 -5.2551
Sb Mg Be
2 1 1
Cartesian
-0.1750 -0.1328 -0.2056 Sb
-3.7696 -2.8617 -4.4292 Sb
-12.6340 -9.5912 -14.8446 Mg
-8.2544 -6.2664 -9.6987 Be
```

Properties
energy relative to the lowest polymorph listed for this composition = 23.1 kJ per mole of atoms
raw formation energy = 0.325 eV per atom
D(E_F) = 0.837 states/eV per atom


Entry 2:
Sc2VCo3: optimized geometry, PBE-GGA.

```
Sc2VCo3
1.0
5.0714 0.0000 0.0000
-2.5357 4.3919 0.0000
0.0000 0.0000 7.5635
Sc V Co
4 2 6
Cartesian
2.5357 1.4640 3.3192 Sc
0.0000 2.9280 4.2443 Sc
0.0000 2.9280 7.1009 Sc
2.5357 1.4640 0.4626 Sc
0.0000 0.0000 3.7818 V
0.0000 0.0000 0.0000 V
0.0000 1.5097 1.8909 Co
1.3074 0.7548 5.6726 Co
2.5357 2.8823 5.6726 Co
-1.2283 3.6371 1.8909 Co
3.7640 0.7548 5.6726 Co
1.2283 3.6371 1.8909 Co
```

Properties
formation energy from the elements = -0.344 eV per atom
D(E_F) = 0.823 states/eV per atom


Entry 3:
AlGePdPt: optimized geometry, PBE-GGA.

```
AlGePdPt
1.0
-1.7027 3.2422 2.4884
-4.3813 0.2832 0.5720
-1.7831 -0.9391 3.9424
Ge Pd Pt Al
1 1 1 1
Cartesian
-5.9004 1.9398 5.2521 Ge
-3.9336 1.2932 3.5014 Pd
0.0000 0.0000 0.0000 Pt
-1.9668 0.6466 1.7507 Al
```

Properties
formation energy from the elements = -0.549 eV per atom
D(E_F) = 0.295 states/eV per atom


Entry 4:
TlCuHg2: optimized geometry, PBE-GGA.

```
TlCuHg2
1.0
-5.3470 -1.0686 7.2339
-4.3749 -4.3882 6.6080
-2.2811 -2.2649 8.4693
Cu Hg Tl
1 2 1
Cartesian
-9.0022 -5.7913 16.7333 Cu
-0.1802 -0.1159 0.3350 Hg
-5.8213 -3.7449 10.8206 Hg
-3.0007 -1.9304 5.5778 Tl
```

Properties
formation energy from the elements = 0.174 eV per atom
D(E_F) = 0.469 states/eV per atom


Entry 5:
GdNpOsRu: optimized geometry, PBE-GGA.

```
GdNpOsRu
1.0
-2.4294 3.2547 2.5773
-1.3376 -1.0136 4.5079
2.1321 2.2179 3.6977
Np Ru Gd Os
1 1 1 1
Cartesian
-0.4087 1.1148 2.6957 Np
0.0000 0.0000 0.0000 Ru
-1.2262 3.3443 8.0872 Gd
-0.8175 2.2295 5.3914 Os
```

Properties
formation energy from the elements = -0.020 eV per atom
D(E_F) = 1.343 states/eV per atom


Entry 6:
DyHoP2: optimized geometry, PBE-GGA.

```
DyHoP2
1.0
3.9575 0.0000 0.0000
1.9787 3.4273 0.0000
1.9787 1.1424 6.8021
Dy Ho P
1 1 2
Cartesian
3.9575 2.2848 3.4484 Dy
5.9362 3.4273 6.7526 Ho
1.9787 1.1424 5.1328 P
1.9787 1.1424 1.6714 P
```

Properties
formation energy from the elements = -1.447 eV per atom
energy relative to the lowest polymorph listed for this composition = 16.3 kJ per mole of atoms
D(E_F) = 0.085 states/eV per atom


Entry 7:
LaOs3I: optimized geometry, PBE-GGA.

```
LaOs3I
1.0
-2.9719 -3.1707 -2.5954
2.8709 0.6763 -4.1136
2.9236 -3.8873 1.4012
I Os La
1 3 1
Cartesian
1.4113 -3.1908 -2.6539 I
1.4354 0.3382 -2.0568 Os
1.4618 -1.9436 0.7006 Os
-1.4860 -1.5853 -1.2977 Os
0.0000 0.0000 0.0000 La
```

Properties
energy relative to the lowest polymorph listed for this composition = 111.8 kJ per mole of atoms
raw formation energy = 2.928 eV per atom
D(E_F) = 1.790 states/eV per atom


Entry 8:
Li9Zn2Ga: optimized geometry, PBE-GGA.

```
Li9Zn2Ga
1.0
4.9190 0.1110 -0.0718
2.1624 4.2596 1.0790
-2.3194 1.3906 9.9083
Li Zn Ga
9 2 1
Cartesian
2.4079 1.4835 0.3428 Li
2.3542 4.2776 10.5727 Li
2.3810 2.8806 5.4578 Li
3.1414 3.7145 8.1009 Li
0.8028 2.2714 7.7656 Li
4.8011 4.3735 5.8020 Li
1.6206 2.0466 2.8146 Li
-0.0391 1.3877 5.1135 Li
3.9592 3.4897 3.1499 Li
0.5618 5.1210 8.4696 Zn
4.2002 0.6401 2.4459 Zn
0.0000 0.0000 0.0000 Ga
```

Properties
formation energy from the elements = -0.132 eV per atom
D(E_F) = 0.295 states/eV per atom


Entry 9:
Cr2RePt2: optimized geometry, PBE-GGA.

```
Cr2RePt2
1.0
7.3538 0.0000 0.0000
0.0000 7.3538 0.0000
0.0000 0.0000 2.6475
Re Pt Cr
2 4 4
Cartesian
0.0000 0.0000 0.0000 Re
3.6769 3.6769 0.0000 Re
2.7338 6.4107 0.0000 Pt
6.4107 4.6200 0.0000 Pt
4.6200 0.9431 0.0000 Pt
0.9431 2.7338 0.0000 Pt
1.2593 4.9362 1.3238 Cr
4.9362 6.0944 1.3238 Cr
6.0944 2.4176 1.3238 Cr
2.4176 1.2593 1.3238 Cr
```

Properties
formation energy from the elements = 0.151 eV per atom
D(E_F) = 0.831 states/eV per atom


> The highest D(E_F) belongs to which entry?

LaOs3I